# Pr2In5AgPd2

Pr2In5AgPd2 after structural relaxation (PBE-GGA, Alexandria).

The structure in extended XYZ format:
```
20
Lattice="-3.147 0.009 -3.141 5.194 -7.148 -5.224 -5.060 -7.367 5.049" Properties=species:S:1:pos:R:3 pbc="T T T"
Pr 2.621 -6.205 -2.644
Pr -2.487 -8.309 2.469
Pr -0.671 -3.644 0.662
Pr 0.805 -10.871 -0.837
In -0.812 -1.912 -2.339
In -2.201 -12.593 -0.977
In -5.278 -6.280 2.123
In -0.132 -8.276 -3.039
In 2.265 -8.225 -5.439
In -2.881 -6.229 -0.277
In -2.232 -9.201 -0.936
In -0.781 -5.304 -2.380
In 1.023 -3.569 -4.182
In -4.103 -3.679 0.954
Ag 0.000 0.000 0.000
Ag 0.067 -7.257 -0.088
Pd -2.514 -5.361 2.504
Pd 2.648 -9.153 -2.679
Pd -1.277 -10.915 1.249
Pd 1.411 -3.599 -1.424
```

Output
Formation energy from the elements: -0.5165 eV per atom
Uncorrected energy: -4.17 eV/atom
Crystal system: tetragonal
Space-group type: P4/mbm

=====

# InAgPdPt2

InAgPdPt2 after structural relaxation (PBE-GGA, Alexandria).

The structure in extended XYZ format:
```
5
Lattice="-0.011 -2.754 4.090 -3.137 -3.154 -2.132 3.805 -2.606 -1.744" Properties=species:S:1:pos:R:3 pbc="T T T"
Pd 0.329 -4.257 0.107
Ag 0.000 0.000 0.000
Pt 1.903 -1.303 -0.872
Pt -0.005 -1.377 2.045
In -1.568 -1.577 -1.066
```

Output
Formation energy from the elements: 1.1218 eV per atom
Uncorrected energy: -3.45 eV/atom
Crystal system: tetragonal
Space-group type: P4/mmm

=====

# RbIn2AgPd

RbIn2AgPd after structural relaxation (PBE-GGA, Alexandria).

The structure in extended XYZ format:
```
5
Lattice="-3.359 2.184 -3.306 -3.175 -4.076 0.533 -2.526 2.522 4.232" Properties=species:S:1:pos:R:3 pbc="T T T"
Rb -4.530 0.315 0.730
Pd 0.000 0.000 0.000
Ag -1.263 1.261 2.116
In -1.588 -2.038 0.267
In -1.679 1.092 -1.653
```

Output
Formation energy from the elements: -0.1118 eV per atom
Uncorrected energy: -3.01 eV/atom
Crystal system: tetragonal
Space-group type: P4/mmm

=====

# InReAgPd2

InReAgPd2 after structural relaxation (PBE-GGA, Alexandria).

The structure in extended XYZ format:
```
5
Lattice="4.808 0.000 0.000 0.000 5.199 0.000 0.000 0.000 4.808" Properties=species:S:1:pos:R:3 pbc="T T T"
Re 0.000 0.000 0.000
Pd 0.000 0.000 2.404
Pd 2.404 0.000 0.000
Ag 0.000 2.600 0.000
In 2.404 2.600 2.404
```

Output
Formation energy from the elements: 1.1401 eV per atom
Uncorrected energy: -4.54 eV/atom
Crystal system: tetragonal
Space-group type: P4/mmm

=====

# In2ReAgPd

In2ReAgPd after structural relaxation (PBE-GGA, Alexandria).

The structure in extended XYZ format:
```
5
Lattice="5.225 0.000 0.000 0.000 4.829 0.000 0.000 0.000 5.225" Properties=species:S:1:pos:R:3 pbc="T T T"
Re 0.000 0.000 0.000
Pd 0.000 2.414 0.000
Ag 2.612 2.414 2.612
In 0.000 0.000 2.612
In 2.612 0.000 0.000
```

Output
Formation energy from the elements: 0.8964 eV per atom
Uncorrected energy: -4.30 eV/atom
Crystal system: tetragonal
Space-group type: P4/mmm

=====

# InAgSbPd

InAgSbPd after structural relaxation (PBE-GGA, Alexandria).

The structure in extended XYZ format:
```
4
Lattice="-4.825 0.085 -0.717 -3.007 -1.724 3.433 -2.793 3.072 2.563" Properties=species:S:1:pos:R:3 pbc="T T T"
Sb -2.656 0.358 1.320
Pd -5.312 0.717 2.640
Ag 0.000 0.000 0.000
In -7.968 1.075 3.960
```

Output
Uncorrected energy: -3.80 eV/atom
Crystal system: cubic
Uncorrected formation energy: -0.08 eV/atom
Space-group type: F-43m